DFT (PBE) results for an optimized crystal structure of Th3Co.

The structure belongs to space group P6_3/mcm (No. 193); the cell edges are 6.6129, 6.6129 and 6.0925 Å and the angles 90.00°, 90.00° and 120.00°. Symmetry generates all atoms from Th at (0.0000, 0.3385, 0.2500) and Co at (0.0000, 0.0000, 0.0000).

The value obtained for the spin magnetization is 0.0 μB/cell. Its density of states at the Fermi level is 1.441 states/eV per atom. The formation energy is -22 meV/atom. For the final energy, the calculation gives -7.363 eV per atom. The calculated volume comes out at 28.842 Å³ per atom.


DFT (PBE) results for an optimized crystal structure of MnCdW2.

The structure belongs to space group P4/mmm (No. 123); the cell edges are 3.266, 3.266 and 6.128 Å and the angles 90.00°, 90.00° and 90.00°. Symmetry generates all atoms from Mn at (0.000, 0.000, 0.000), Cd at (0.000, 0.000, 0.500) and W at (0.500, 0.500, 0.198).

The value obtained for the spin magnetization is 1.0 μB/cell. Its density of states at the Fermi level is 0.889 states/eV per atom. The formation energy is 557 meV/atom. For the final energy, the calculation gives -8.441 eV per atom. The calculated volume comes out at 16.341 Å³ per atom.


DFT (PBE) results for an optimized crystal structure of TbNd2Cu2Ge2.

The structure belongs to space group R-3m (No. 166, hexagonal axes); the cell edges are 4.2618, 4.2618 and 31.0021 Å and the angles 90.00°, 90.00° and 120.00°. Symmetry generates all atoms from Tb at (0.0000, 0.0000, 0.0000), Nd at (0.0000, 0.0000, 0.1208), Cu at (0.0000, 0.0000, 0.3902) and Ge at (0.0000, 0.0000, 0.2730).

The value obtained for the spin magnetization is 0.0 μB/cell. Its density of states at the Fermi level is 0.765 states/eV per atom. The formation energy is -503 meV/atom. For the final energy, the calculation gives -5.017 eV per atom. The calculated volume comes out at 23.221 Å³ per atom.


- Look up the final energy of the second one.
  -8.441 eV per atom